# Ba2As4Pd3Pt

Ba2As4Pd3Pt after structural relaxation (PBE, Alexandria).

CIF file:
```
data_Ba2As4Pd3Pt
_chemical_formula_sum 'Ba2 As4 Pd3 Pt1'
_cell_length_a 4.5931
_cell_length_b 4.5931
_cell_length_c 10.2468
_cell_angle_alpha 90.00
_cell_angle_beta 90.00
_cell_angle_gamma 90.00
_space_group_name_H-M_alt 'P 1'
_space_group_IT_number 1
_space_group_name_Hall 'P 1'
loop_
_atom_site_label
_atom_site_fract_x
_atom_site_fract_y
_atom_site_fract_z
Ba1 0.0000 0.5000 0.2473
Ba2 0.5000 0.0000 0.7527
As1 0.0000 0.0000 0.0000
As2 0.0000 0.5000 0.6236
As3 0.5000 0.0000 0.3764
As4 0.5000 0.5000 0.0000
Pd1 0.0000 0.5000 0.8841
Pd2 0.5000 0.0000 0.1159
Pd3 0.5000 0.5000 0.5000
Pt1 0.0000 0.0000 0.5000
```

ΔH_f (0 K) = -7.546 eV/f.u.
Space group = P-4m2, No. 115